(1)
! PBE-GGA BaGaI2N, relaxed; values from VASP
&SYSTEM
  ibrav = 0, nat = 5, ntyp = 4
/
ATOMIC_SPECIES
I 126.90 I.upf
N 14.01 N.upf
Ba 137.33 Ba.upf
Ga 69.72 Ga.upf
CELL_PARAMETERS angstrom
-1.4727 -4.0533 -5.2661
0.5180 -5.4475 4.0480
-5.0442 0.3617 1.1322
ATOMIC_POSITIONS angstrom
I 0.2590 -2.7238 2.0240
N -2.5221 0.1809 0.5661
I -0.7363 -2.0266 -2.6331
Ba 0.0000 0.0000 0.0000
Ga -2.9995 -4.5695 -0.0430
! Uncorrected energy in eV per atom: -3.20
! E_form (uncorrected) in kcal/mol of atoms: 1.81
! Symmetry: P4/mmm, No. 123

---

(2)
! PBE-GGA BaGaI2N, relaxed; values from VASP
&SYSTEM
  ibrav = 0, nat = 5, ntyp = 4
/
ATOMIC_SPECIES
Ga 69.72 Ga.upf
N 14.01 N.upf
I 126.90 I.upf
Ba 137.33 Ba.upf
CELL_PARAMETERS angstrom
-0.0678 3.4478 -5.1222
4.3104 -3.6414 -2.5081
-2.6709 -2.1767 -1.4298
ATOMIC_POSITIONS angstrom
Ga 0.0000 0.0000 0.0000
N -1.3354 -1.0884 -0.7149
I 2.1552 -1.8207 -1.2540
Ba 0.7859 -1.1851 -4.5301
I -0.0339 1.7239 -2.5611
! Uncorrected energy in eV per atom: -3.64
! E_form (uncorrected) in kcal/mol of atoms: -8.41
! Symmetry: P4/mmm, No. 123

---

no.,E above lowest polymorph (eV per formula unit)
1,2.22
2,0.00